(1)
The following is a GGA-PBE calculation of an optimized crystal structure of Fe6BP, from Alexandria via LeMat-Bulk.

Properties
E_tot: -8.132 eV/atom
Energy of formation: -2.19 eV/f.u.
Fermi-level density of states: 12.52 states/eV per cell

The structure in extended XYZ format:
```
16
Lattice="1.684 0.087 -6.314 5.236 -0.129 -3.909 2.939 -6.315 -4.906" Properties=species:S:1:pos:R:3 pbc="T T T"
Fe 5.810 -3.771 -10.714
Fe 2.386 -2.486 -5.542
Fe 5.679 -0.388 -6.506
Fe 5.954 -6.077 -7.422
Fe 1.974 -3.917 -3.285
Fe 7.867 -2.439 -11.856
Fe 4.378 -4.098 -6.931
Fe 5.390 -2.254 -8.260
Fe 7.443 -5.213 -9.476
Fe 4.252 -1.256 -4.410
Fe 3.194 -0.156 -6.681
Fe 4.859 -6.092 -9.671
B 5.637 -4.336 -8.684
B 4.249 -2.023 -6.426
P 7.617 -4.719 -11.737
P 2.182 -1.634 -3.433
```

---

(2)
The following is a GGA-PBE calculation of an optimized crystal structure of MgOs2Se, from Alexandria via LeMat-Bulk.

Properties
E_tot: -6.166 eV/atom
Uncorrected formation energy: 277 kJ/mol of formula units
Fermi-level density of states: 3.72 states/eV per cell
Relative energy among the computed polymorphs: 222 kJ/mol of formula units

The structure in extended XYZ format:
```
4
Lattice="-2.707 0.702 0.059 0.859 -2.078 1.664 1.717 6.061 6.682" Properties=species:S:1:pos:R:3 pbc="T T T"
Mg 0.364 3.858 5.873
Os 1.715 6.053 6.673
Os 0.861 3.038 3.350
Se -0.495 0.827 2.532
```

---

(3)
The following is a GGA-PBE calculation of an optimized crystal structure of EuYTmIn, from Alexandria via LeMat-Bulk.

Properties
E_tot: -6.097 eV/atom
Energy of formation: -0.44 eV/f.u.
Fermi-level density of states: 5.25 states/eV per cell

The structure in extended XYZ format:
```
4
Lattice="5.491 0.000 0.000 2.745 4.755 0.000 2.745 1.585 4.483" Properties=species:S:1:pos:R:3 pbc="T T T"
Eu 2.745 1.585 1.121
Y 5.491 3.170 2.242
Tm 0.000 0.000 0.000
In 8.236 4.755 3.363
```

---

(4)
The following is a GGA-PBE calculation of an optimized crystal structure of ZnSeBr, from Alexandria via LeMat-Bulk.

Properties
E_tot: -2.761 eV/atom
Uncorrected formation energy: -179 kJ/mol of formula units
Fermi-level density of states: 0.00 states/eV per cell

The structure in extended XYZ format:
```
12
Lattice="3.998 0.000 0.000 0.000 7.579 0.000 0.000 0.000 12.384" Properties=species:S:1:pos:R:3 pbc="T T T"
Zn 0.000 1.623 11.938
Zn 0.000 5.956 11.938
Zn 0.000 5.413 5.746
Zn 0.000 2.166 5.746
Se 1.999 1.210 10.507
Se 1.999 6.369 10.507
Se 1.999 5.000 4.315
Se 1.999 2.580 4.315
Br 0.000 0.000 6.900
Br 0.000 3.790 0.708
Br 0.000 0.000 1.412
Br 0.000 3.790 7.604
```

---

(5)
The following is a GGA-PBE calculation of an optimized crystal structure of K3NaB2O6, from Alexandria via LeMat-Bulk.

Properties
E_tot: -5.861 eV/atom
Uncorrected formation energy: -2182 kJ/mol of formula units

The structure in extended XYZ format:
```
12
Lattice="5.774 0.000 0.000 -2.887 5.000 0.000 0.000 0.000 6.868" Properties=species:S:1:pos:R:3 pbc="T T T"
K 0.000 3.334 4.838
K 2.887 1.667 2.031
K 0.000 0.000 0.000
Na 0.000 0.000 3.434
B 2.887 1.667 4.985
B 0.000 3.334 1.884
O 1.186 4.019 1.910
O 0.000 1.964 1.910
O -1.186 4.019 1.910
O 2.887 3.037 4.958
O 1.701 0.982 4.958
O 4.073 0.982 4.958
```

---

(6)
The following is a GGA-PBE calculation of an optimized crystal structure of Nd4Bi3C, from Alexandria via LeMat-Bulk.

Properties
E_tot: -5.414 eV/atom
Energy of formation: -3.37 eV/f.u.
Fermi-level density of states: 8.14 states/eV per cell

The structure in extended XYZ format:
```
16
Lattice="-5.209 -1.146 -3.720 -1.815 -8.304 5.100 -4.983 4.519 5.585" Properties=species:S:1:pos:R:3 pbc="T T T"
Nd -2.071 -8.057 4.671
Nd -3.630 -2.456 -1.251
Nd -2.110 -1.718 2.660
Nd -5.555 -5.066 2.833
Nd -4.571 -4.446 6.362
Nd -5.492 1.295 0.896
Nd -7.851 -2.984 5.407
Nd -4.797 0.719 5.672
Bi -4.547 -8.144 2.533
Bi -2.427 -4.628 4.073
Bi -5.173 -2.142 1.468
Bi -2.969 1.393 3.067
Bi -6.988 -0.495 3.503
Bi -5.594 -1.756 7.622
C -5.541 -2.818 -2.664
C -6.509 -4.931 5.026
```

---

(7)
The following is a GGA-PBE calculation of an optimized crystal structure of Nd6Ir2CBr3, from Alexandria via LeMat-Bulk.

Properties
E_tot: -6.013 eV/atom
Uncorrected formation energy: -1118 kJ/mol of formula units
Fermi-level density of states: 10.56 states/eV per cell

The structure in extended XYZ format:
```
12
Lattice="7.085 0.000 0.007 -3.541 6.137 0.007 -1.174 -2.033 7.655" Properties=species:S:1:pos:R:3 pbc="T T T"
Nd 3.480 2.198 6.229
Nd 2.428 4.204 1.451
Nd -1.109 1.907 1.441
Nd 0.165 4.113 6.229
Nd -0.057 -0.099 6.219
Nd 2.206 -0.008 1.441
Ir -0.006 4.096 0.007
Ir 3.550 2.042 0.007
C 0.000 0.000 0.000
Br -2.404 4.125 3.835
Br 4.775 -0.020 3.835
Br 1.185 2.053 3.835
```

---

(8)
The following is a GGA-PBE calculation of an optimized crystal structure of MnSnAu6, from Alexandria via LeMat-Bulk.

Properties
E_tot: -4.163 eV/atom
Energy of formation: -0.47 eV/f.u.
Fermi-level density of states: 2.59 states/eV per cell
Relative energy among the computed polymorphs: 0 kJ/mol of formula units

The structure in extended XYZ format:
```
8
Lattice="-1.881 -2.922 2.278 2.734 -1.497 4.107 -3.419 3.897 5.898" Properties=species:S:1:pos:R:3 pbc="T T T"
Mn 0.000 0.000 0.000
Sn -0.343 1.200 5.003
Au -0.239 0.460 7.911
Au -2.886 1.135 6.600
Au 0.140 -0.852 2.796
Au 0.319 -1.656 5.683
Au -2.327 -0.982 4.372
Au -2.707 0.331 9.487
```

---

(9)
The following is a GGA-PBE calculation of an optimized crystal structure of Na2Ga2P, from Alexandria via LeMat-Bulk.

Properties
E_tot: -2.905 eV/atom
Energy of formation: -0.42 eV/f.u.
Fermi-level density of states: 3.30 states/eV per cell
Relative energy among the computed polymorphs: 0 kJ/mol of formula units

The structure in extended XYZ format:
```
10
Lattice="6.685 0.000 0.000 0.000 6.685 0.000 0.000 0.000 4.917" Properties=species:S:1:pos:R:3 pbc="T T T"
P 0.000 0.000 0.000
P 3.343 3.343 0.000
Ga 2.435 5.778 0.000
Ga 5.778 4.250 0.000
Ga 4.250 0.908 0.000
Ga 0.908 2.435 0.000
Na 1.185 4.528 2.458
Na 4.528 5.500 2.458
Na 5.500 2.157 2.458
Na 2.157 1.185 2.458
```

---

(10)
The following is a GGA-PBE calculation of an optimized crystal structure of CdSnPd, from Alexandria via LeMat-Bulk.

Properties
E_tot: -3.533 eV/atom
Energy of formation: -0.49 eV/f.u.
Fermi-level density of states: 0.94 states/eV per cell

The structure in extended XYZ format:
```
3
Lattice="-2.851 0.845 -1.390 -2.192 -0.696 4.073 1.748 4.216 -1.024" Properties=species:S:1:pos:R:3 pbc="T T T"
Sn -0.459 0.136 -0.224
Pd -0.060 2.725 0.434
Cd -2.777 1.503 1.448
```

---

(11)
The following is a GGA-PBE calculation of an optimized crystal structure of LiCaGdHg, from Alexandria via LeMat-Bulk.

Properties
E_tot: -4.830 eV/atom
Energy of formation: -1.02 eV/f.u.
Fermi-level density of states: 4.02 states/eV per cell

The structure in extended XYZ format:
```
4
Lattice="5.311 0.000 0.000 2.655 4.599 0.000 2.655 1.533 4.336" Properties=species:S:1:pos:R:3 pbc="T T T"
Ca 2.655 1.533 1.084
Gd 7.966 4.599 3.252
Hg 5.311 3.066 2.168
Li 0.000 0.000 0.000
```

---

Calculated theoretical density, 7.49, 12.67, 7.44, 3.97, 2.16, 7.17, 7.49, 15.26, 3.27, 9.01, 6.35 g/cm3 (same order as the records).